# 1
This record from the Alexandria database describes a geometry-optimized Ba2NaPmO4 structure. The functional is PBE.

Calculated values
- uncorrected energy (Ry/atom) = -0.4536
- calculated volume (Å³ per atom) = 18.489

a = 6.3987 Å, b = 3.7611 Å, c = 6.4784 Å
α = 90.00°, β = 108.44°, γ = 90.00°
Last column: nearest neighbours and their distance in Å.
Space group P2/m (No. 10)
Asymmetric unit:
Ba  0.0000  0.0000  0.0000 [1 per cell]  6 O 2.82-2.83
Ba  0.5000  0.5000  0.0000 [1 per cell]  6 O 2.66
Na  0.0000  0.5000  0.5000 [1 per cell]  6 O 2.58-2.68
Pm  0.5000  0.0000  0.5000 [1 per cell]  6 O 2.40-2.51
O  0.2728  0.0000  0.7318 [2 per cell]  1 Pm 2.40, 2 Ba 2.66, 2 Na 2.68
O  0.2759  0.5000  0.2833 [2 per cell]  2 Pm 2.51, 1 Na 2.58, 1 Ba 2.66

# 2
This record from the Alexandria database describes a geometry-optimized BaNaPrSbO6 structure. The functional is PBE.

Calculated values
- uncorrected energy (Ry/atom) = -0.4637
- calculated volume (Å³ per atom) = 16.334

a = 8.6772 Å, b = 8.6772 Å, c = 8.6772 Å
α = 90.00°, β = 90.00°, γ = 90.00°
Last column: nearest neighbours and their distance in Å.
Space group F-43m (No. 216)
Asymmetric unit:
Ba  0.0000  0.0000  0.0000 [4 per cell]  12 O 3.07
Na  0.0000  0.0000  0.5000 [4 per cell]  12 O 3.07
Pr  0.2500  0.2500  0.7500 [4 per cell]  6 O 2.34
Sb  0.2500  0.2500  0.2500 [4 per cell]  6 O 2.00
O  0.0195  0.2500  0.2500 [24 per cell]  1 Sb 2.00

# 3
This record from the Alexandria database describes a geometry-optimized BaNaPtO2 structure. The functional is PBE.

Calculated values
- uncorrected energy (Ry/atom) = -0.3831
- calculated volume (Å³ per atom) = 16.612

a = 5.4237 Å, b = 12.1475 Å, c = 5.0428 Å
α = 90.00°, β = 90.00°, γ = 90.00°
Last column: nearest neighbours and their distance in Å.
Space group Cmme (No. 67)
Asymmetric unit:
Ba  0.0000  0.2500  0.2471 [4 per cell]  8 O 2.88-3.09
Na  0.2500  0.0000  0.5000 [4 per cell]  4 O 2.39
Pt  0.0000  0.0000  0.0000 [4 per cell]  2 O 2.05
O  0.0000  0.1288  0.7382 [8 per cell]  1 Pt 2.05

# 4
This record from the Alexandria database describes a geometry-optimized Ba2NaPtO structure. The functional is PBE.

Calculated values
- uncorrected energy (Ry/atom) = -0.3231
- calculated volume (Å³ per atom) = 26.502

a = 5.4057 Å, b = 5.4057 Å, c = 4.5347 Å
α = 90.00°, β = 90.00°, γ = 90.00°
Last column: nearest neighbours and their distance in Å.
Space group P4/mmm (No. 123)
Asymmetric unit:
Ba  0.0000  0.5000  0.0000 [2 per cell]  2 O 2.70
Na  0.0000  0.0000  0.5000 [1 per cell]  2 O 2.27
Pt  0.5000  0.5000  0.5000 [1 per cell]  8 Ba 3.53, 4 Na 3.82
O  0.0000  0.0000  0.0000 [1 per cell]  2 Na 2.27